[1]
{
  "formula": "Y2SiNi",
  "functional": "meta-GGA SCAN",
  "state": "single point on PBEsol structure",
  "lattice_angstrom": [[3.926, 0.000, 0.000], [0.000, 4.004, 0.000], [-1.963, 0.000, 5.233]],
  "species": ["Y", "Y", "Ni", "Si"],
  "fractional_positions": [[0.113, 0.000, 0.226], [0.395, 0.500, 0.789], [0.819, 0.000, 0.638], [0.687, 0.500, 0.373]],
  "raw_formation_energy_ev_per_atom": -0.676,
  "space_group": "Amm2, No. 38"
}


[2]
{
  "formula": "Ba2SbRh",
  "functional": "meta-GGA SCAN",
  "state": "single point on PBEsol structure",
  "lattice_angstrom": [[4.752, 0.000, 0.000], [0.000, 4.982, 0.000], [0.000, -2.491, 5.570]],
  "species": ["Ba", "Ba", "Rh", "Sb"],
  "fractional_positions": [[0.500, 0.395, 0.790], [0.000, 0.102, 0.204], [0.000, 0.801, 0.602], [0.500, 0.701, 0.402]],
  "raw_formation_energy_ev_per_atom": -0.699,
  "space_group": "Amm2, No. 38"
}


[3]
{
  "formula": "SrLiP2",
  "functional": "meta-GGA SCAN",
  "state": "single point on PBEsol structure",
  "lattice_angstrom": [[3.424, 0.000, 0.000], [0.000, 4.310, -0.001], [-1.712, -1.956, 5.526]],
  "species": ["Sr", "Li", "P", "P"],
  "fractional_positions": [[0.531, 0.559, 0.062], [0.773, 0.257, 0.547], [0.275, 0.733, 0.550], [0.920, 0.951, 0.841]],
  "formation_enthalpy_0k_kj_per_mol_atoms": -56.31,
  "space_group": "Cm, No. 8",
  "e_above_lowest_polymorph_kj_per_mol_fu": 43.7
}


[4]
{
  "formula": "LiCd2Hg2",
  "functional": "meta-GGA SCAN",
  "state": "single point on PBEsol structure",
  "lattice_angstrom": [[3.980, 0.000, 0.000], [0.000, 7.446, 0.000], [0.000, 0.000, 7.446]],
  "species": ["Li", "Li", "Hg", "Hg", "Hg", "Hg", "Cd", "Cd", "Cd", "Cd"],
  "fractional_positions": [[0.000, 0.000, 0.000], [0.000, 0.500, 0.500], [0.000, 0.647, 0.147], [0.000, 0.147, 0.353], [0.000, 0.353, 0.853], [0.000, 0.853, 0.647], [0.500, 0.158, 0.658], [0.500, 0.658, 0.842], [0.500, 0.342, 0.158], [0.500, 0.842, 0.342]],
  "formation_enthalpy_0k_kj_per_mol_atoms": -11.83,
  "space_group": "P4/mbm, No. 127",
  "e_above_lowest_polymorph_kj_per_mol_fu": 0.0
}


[5]
{
  "formula": "Cs3PrCl6",
  "functional": "meta-GGA SCAN",
  "state": "single point on PBEsol structure",
  "lattice_angstrom": [[-5.465, 5.700, -2.810], [-6.398, -2.371, -4.868], [-7.825, 0.139, 3.001]],
  "species": ["Cs", "Cs", "Cs", "Cl", "Cl", "Cl", "Cl", "Cl", "Cl", "Pr"],
  "fractional_positions": [[0.750, 0.750, 0.750], [0.250, 0.250, 0.250], [0.500, 0.500, 0.500], [0.771, 0.229, 0.771], [0.771, 0.229, 0.229], [0.229, 0.229, 0.771], [0.229, 0.771, 0.229], [0.771, 0.771, 0.229], [0.229, 0.771, 0.771], [0.000, 0.000, 0.000]],
  "raw_formation_energy_ev_per_atom": -2.323,
  "space_group": "Fm-3m, No. 225"
}


[6]
{
  "formula": "IrOsCl2",
  "functional": "meta-GGA SCAN",
  "state": "single point on PBEsol structure",
  "lattice_angstrom": [[2.770, 0.000, 0.000], [-1.385, 2.560, 0.000], [0.000, 0.000, 8.430]],
  "species": ["Os", "Cl", "Cl", "Ir"],
  "fractional_positions": [[0.500, 0.000, 0.000], [0.000, 0.000, 0.763], [0.000, 0.000, 0.237], [0.500, 0.000, 0.500]],
  "raw_formation_energy_ev_per_atom": 1.064,
  "space_group": "Cmmm, No. 65",
  "e_above_lowest_polymorph_kj_per_mol_fu": 386.9
}


Repeat the fourth record exactly.
{
  "formula": "LiCd2Hg2",
  "functional": "meta-GGA SCAN",
  "state": "single point on PBEsol structure",
  "lattice_angstrom": [[3.980, 0.000, 0.000], [0.000, 7.446, 0.000], [0.000, 0.000, 7.446]],
  "species": ["Li", "Li", "Hg", "Hg", "Hg", "Hg", "Cd", "Cd", "Cd", "Cd"],
  "fractional_positions": [[0.000, 0.000, 0.000], [0.000, 0.500, 0.500], [0.000, 0.647, 0.147], [0.000, 0.147, 0.353], [0.000, 0.353, 0.853], [0.000, 0.853, 0.647], [0.500, 0.158, 0.658], [0.500, 0.658, 0.842], [0.500, 0.342, 0.158], [0.500, 0.842, 0.342]],
  "formation_enthalpy_0k_kj_per_mol_atoms": -11.83,
  "space_group": "P4/mbm, No. 127",
  "e_above_lowest_polymorph_kj_per_mol_fu": 0.0
}